Here is crystalline Nd2Dy4Er5 at its relaxed geometry from the Alexandria database. Energies are from PBE.

Structure (extended XYZ):
```
11
Lattice="-1.743 4.503 11.571 1.743 -4.503 11.571 1.743 4.503 -11.571" Properties=species:S:1:pos:R:3 pbc="T T T"
Nd 0.000 0.000 5.382
Nd 0.000 0.000 17.759
Dy 0.000 0.000 2.246
Dy 1.743 1.728 0.000
Dy 0.000 2.775 11.571
Dy 0.000 0.000 20.895
Er 1.743 2.759 -3.266
Er 1.743 2.759 3.266
Er 0.000 4.503 0.000
Er 0.000 1.744 8.304
Er 0.000 1.744 14.837
```

DFT formation energy	0.218	eV per atom
magnetization	0.0	μB/cell
E above lowest polymorph	198	meV/atom
volume	363.3	Å³/cell